Crystalline Er2ThCd at its relaxed geometry, computed with PBE. Values from VASP.

The structure in Quantum ESPRESSO input format:
```
&SYSTEM
  ibrav = 0, nat = 4, ntyp = 3
/
ATOMIC_SPECIES
Er 167.26 Er.upf
Cd 112.41 Cd.upf
Th 232.04 Th.upf
ATOMIC_POSITIONS crystal
Er 0.077 0.077 0.769
Er 0.256 0.256 0.231
Cd 0.666 0.666 0.001
Th 0.500 0.500 0.499
CELL_PARAMETERS angstrom
-1.029 2.312 2.488
0.735 -0.624 3.415
9.260 5.855 0.919
```

Summary:
* magnetization: 0.00 μB/atom
* formation enthalpy at 0 K: -34 meV/atom
* total energy: -4.399 eV per atom
* distance to the lowest polymorph of the same formula: 128 meV per atom
* volume: 29.450 Å³ per atom